Material: CsCo2TcF8
Method: DFT, PBE+U
State: optimized geometry

Summary:
- raw total energy (eV per atom) = -5.098
- magnetization (μB per atom) = 0.667

a b c (Å): 5.4258 5.4258 25.1453
angles (deg): 90.00 90.00 120.00
Space group R-3 (No. 148, hexagonal axes)
Symmetry-distinct sites (fractional):
Cs 0.0000 0.0000 0.0000 [3 per cell]
Co 0.0000 0.0000 0.2373 [6 per cell]
Tc 0.0000 0.0000 0.5000 [3 per cell]
F 0.0000 0.0000 0.3113 [6 per cell]
F 0.0007 0.3084 0.4534 [18 per cell]